Entry from the Alexandria database: CaMg6Cu6 after structural relaxation (PBE).

Calculated values
Crystal system: orthorhombic
Energy of formation, kJ/mol of formula units: -139
ΔE to the lowest computed polymorph, meV per atom: 0

Cell lengths 7.0180, 7.0180, 7.0180 Å; angles 135.88, 98.23, 97.99 degrees
Fractional positions:
Ca1 0.0000 0.0000 0.0000
Mg1 0.1901 0.6901 0.5000
Mg2 0.3369 0.0000 0.3369
Mg3 0.3465 0.3465 0.0000
Mg4 0.6535 0.6535 0.0000
Mg5 0.6631 0.0000 0.6631
Mg6 0.8099 0.3099 0.5000
Cu1 0.0000 0.0000 0.5000
Cu2 0.0000 0.5000 0.0000
Cu3 0.2327 0.5000 0.7327
Cu4 0.5000 0.0000 0.0000
Cu5 0.5000 0.5000 0.5000
Cu6 0.7673 0.5000 0.2673